(1)
! Rb2SnPb2 | Alexandria via LeMat-Bulk | PBE | relaxed; values from VASP
! Space-group type: P4/mbm, No. 127
! Energy relative to the elements in eV per atom: 0.1499
! Relative energy among the computed polymorphs in eV/f.u.: 1.49
&SYSTEM
  ibrav = 0, nat = 10, ntyp = 3
/
ATOMIC_SPECIES
Rb 85.47 Rb.upf
Sn 118.71 Sn.upf
Pb 207.20 Pb.upf
ATOMIC_POSITIONS angstrom
Rb 1.985 3.178 0.000
Rb 3.178 8.340 0.000
Rb 7.147 1.985 0.000
Rb 8.340 7.147 0.000
Sn 0.000 0.000 1.845
Sn 5.162 5.162 1.845
Pb 1.093 6.256 1.845
Pb 4.069 1.093 1.845
Pb 6.256 9.231 1.845
Pb 9.231 4.069 1.845
CELL_PARAMETERS angstrom
10.325 0.000 0.000
0.000 10.325 0.000
0.000 0.000 3.690

***

(2)
! Li4Tl5Hg | Alexandria via LeMat-Bulk | PBE | relaxed; values from VASP
! Space-group type: C2/m, No. 12
! Energy relative to the elements in eV per atom: -0.1705
&SYSTEM
  ibrav = 0, nat = 10, ntyp = 3
/
ATOMIC_SPECIES
Li 6.94 Li.upf
Tl 204.38 Tl.upf
Hg 200.59 Hg.upf
ATOMIC_POSITIONS angstrom
Li 0.713 0.000 1.782
Li 2.957 0.000 5.121
Li 11.163 0.000 0.679
Li 13.406 0.000 4.018
Tl -0.070 0.000 4.925
Tl 3.871 0.000 2.220
Tl 7.060 0.000 2.900
Tl 10.248 0.000 3.580
Tl 14.190 0.000 0.875
Hg 8.251 0.000 0.000
CELL_PARAMETERS angstrom
8.251 -2.408 0.000
8.251 2.408 0.000
-2.382 0.000 5.800

***

(3)
! PrTlPb | Alexandria via LeMat-Bulk | PBE | relaxed; values from VASP
! Space-group type: I4mm, No. 107
! Energy relative to the elements in eV per atom: -0.2385
! Relative energy among the computed polymorphs in eV/f.u.: 0.39
&SYSTEM
  ibrav = 0, nat = 3, ntyp = 3
/
ATOMIC_SPECIES
Pr 140.91 Pr.upf
Tl 204.38 Tl.upf
Pb 207.20 Pb.upf
ATOMIC_POSITIONS angstrom
Pr 0.000 0.000 0.000
Tl 0.000 0.000 3.897
Pb 0.000 0.000 8.115
CELL_PARAMETERS angstrom
-1.957 1.957 5.935
1.957 -1.957 5.935
1.957 1.957 -5.935

***

(4)
! Mg2CuAsBr | Alexandria via LeMat-Bulk | PBE | relaxed; values from VASP
! Space-group type: P4/mmm, No. 123
! E_form (uncorrected) in meV per atom: 337
&SYSTEM
  ibrav = 0, nat = 5, ntyp = 4
/
ATOMIC_SPECIES
Mg 24.30 Mg.upf
Cu 63.55 Cu.upf
As 74.92 As.upf
Br 79.90 Br.upf
ATOMIC_POSITIONS angstrom
Mg 0.000 2.594 0.000
Mg 2.594 0.000 0.000
Cu 0.000 0.000 0.000
As 2.594 2.594 2.275
Br 0.000 0.000 2.275
CELL_PARAMETERS angstrom
5.189 0.000 0.000
0.000 5.189 0.000
0.000 0.000 4.551

***

(5)
! K3PuSc2Se6 | Alexandria via LeMat-Bulk | PBE | relaxed; values from VASP
! Space-group type: C2/m, No. 12
! E_form (uncorrected) in meV per atom: -1550
&SYSTEM
  ibrav = 0, nat = 12, ntyp = 4
/
ATOMIC_SPECIES
K 39.10 K.upf
Pu 244.00 Pu.upf
Sc 44.96 Sc.upf
Se 78.96 Se.upf
ATOMIC_POSITIONS angstrom
K 0.000 0.000 0.000
K 3.563 2.026 0.000
K 3.563 -2.026 0.000
Pu 2.372 0.000 3.809
Sc 2.372 4.111 3.809
Sc 2.372 -4.111 3.809
Se 1.132 2.150 2.298
Se -0.110 0.000 5.316
Se 1.132 -2.150 2.298
Se 3.612 2.150 5.320
Se 4.855 0.000 2.301
Se 3.612 -2.150 5.320
CELL_PARAMETERS angstrom
3.563 -6.172 0.000
3.563 6.172 0.000
-2.381 0.000 7.618

***

(6)
! BeGa4Br6 | Alexandria via LeMat-Bulk | PBE | relaxed; values from VASP
! Space-group type: Cc, No. 9
! E_form (uncorrected) in meV per atom: -637
&SYSTEM
  ibrav = 0, nat = 22, ntyp = 3
/
ATOMIC_SPECIES
Be 9.01 Be.upf
Ga 69.72 Ga.upf
Br 79.90 Br.upf
ATOMIC_POSITIONS angstrom
Be 4.689 1.968 5.943
Be 8.276 -1.968 0.000
Ga 1.732 0.803 3.272
Ga 0.995 2.448 10.717
Ga -1.854 -0.803 9.215
Ga 7.465 0.921 3.292
Ga 3.879 -0.921 9.235
Ga 12.177 0.601 1.148
Ga 4.581 -2.448 4.774
Ga 8.591 -0.601 7.091
Br 3.960 3.704 7.101
Br 4.540 2.418 3.793
Br 4.115 1.709 10.575
Br 3.494 0.189 6.364
Br 6.849 1.753 6.451
Br 7.080 -0.189 0.420
Br 10.290 1.667 3.085
Br 0.953 -2.418 9.737
Br 7.702 -1.709 4.632
Br 10.436 -1.753 0.507
Br 6.704 -1.667 9.029
Br 7.547 -3.704 1.157
CELL_PARAMETERS angstrom
8.276 -3.923 0.000
8.276 3.923 0.000
-7.173 0.000 11.887